Record 1
ZrBe2Fe: relaxed, GGA-PBEsol.

Cell lengths 3.6294, 3.6294, 12.9668 Å; angles 90.00, 90.00, 120.00 degrees
Space group R3m (No. 160, hexagonal axes)
Asymmetric unit:
Zr1 0.0000 0.0000 0.0000 (multiplicity 3)
Be1 0.0000 0.0000 0.4994 (multiplicity 3)
Be2 0.0000 0.0000 0.8028 (multiplicity 3)
Fe1 0.0000 0.0000 0.2084 (multiplicity 3)

Calculated values
Energy of formation in eV per atom: -0.0657
Density in g cm⁻³: 5.56
M_tot in μB/f.u.: 0.00

***

Record 2
Zr2BeFe: relaxed, GGA-PBEsol.

Cell lengths 3.354, 3.835, 5.183 Å; angles 90.00, 108.77, 90.00 degrees
Space group Pm (No. 6)
Asymmetric unit:
Zr1 0.000 0.000 0.000 (multiplicity 1)
Zr2 0.278 0.500 0.557 (multiplicity 1)
Be1 0.570 0.500 0.141 (multiplicity 1)
Fe1 0.699 0.000 0.400 (multiplicity 1)

Calculated values
Energy of formation in eV per atom: -0.1614
Density in g cm⁻³: 6.51
M_tot in μB/f.u.: 0.00

***

Record 3
Zr2BeFe: relaxed, GGA-PBEsol.

Cell lengths 3.150, 3.150, 6.180 Å; angles 90.00, 90.00, 90.00 degrees
Space group P4/mmm (No. 123)
Asymmetric unit:
Zr1 0.000 0.000 0.249 (multiplicity 2)
Be1 0.500 0.500 0.500 (multiplicity 1)
Fe1 0.500 0.500 0.000 (multiplicity 1)

Calculated values
Energy of formation in eV per atom: -0.1508
Density in g cm⁻³: 6.70
M_tot in μB/f.u.: 0.28

***

Record 4
Zr2BeFe: relaxed, GGA-PBEsol.

Cell lengths 3.743, 3.743, 8.740 Å; angles 90.00, 90.00, 90.00 degrees
Space group I-4m2 (No. 119)
Asymmetric unit:
Zr1 0.000 0.000 0.000 (multiplicity 2)
Zr2 0.000 0.500 0.250 (multiplicity 2)
Be1 0.000 0.000 0.500 (multiplicity 2)
Fe1 0.000 0.500 0.750 (multiplicity 2)

Calculated values
Energy of formation in eV per atom: 0.0787
Density in g cm⁻³: 6.71
M_tot in μB/f.u.: 0.01

***

Record 5
ZrBe2Fe: relaxed, GGA-PBEsol.

Cell lengths 2.688, 3.071, 5.751 Å; angles 90.00, 90.00, 90.00 degrees
Space group Pmmm (No. 47)
Asymmetric unit:
Zr1 0.000 0.000 0.000 (multiplicity 1)
Be1 0.500 0.500 0.319 (multiplicity 2)
Fe1 0.000 0.000 0.500 (multiplicity 1)

Calculated values
Energy of formation in eV per atom: -0.0706
Density in g cm⁻³: 5.77
M_tot in μB/f.u.: 1.33

***

Record 6
Zr3BeFe: relaxed, GGA-PBEsol.

Cell lengths 4.682, 4.682, 4.682 Å; angles 90.00, 90.00, 90.00 degrees
Space group Pm-3m (No. 221)
Asymmetric unit:
Zr1 0.000 0.000 0.500 (multiplicity 3)
Be1 0.500 0.500 0.500 (multiplicity 1)
Fe1 0.000 0.000 0.000 (multiplicity 1)

Calculated values
Energy of formation in eV per atom: 0.5168
Density in g cm⁻³: 5.48
M_tot in μB/f.u.: 0.00

***

Record 7
BeGa2GeI: relaxed, GGA-PBEsol.

Cell lengths 4.432, 4.432, 5.455 Å; angles 90.00, 90.00, 90.00 degrees
Space group P4/mmm (No. 123)
Asymmetric unit:
Be1 0.000 0.000 0.000 (multiplicity 1)
Ga1 0.000 0.500 0.000 (multiplicity 2)
Ge1 0.500 0.500 0.500 (multiplicity 1)
I1 0.000 0.000 0.500 (multiplicity 1)

Calculated values
Formation energy from raw total energies in eV per formula unit: 2.22
Density in g cm⁻³: 5.39
M_tot in μB/f.u.: 0.00

***

Record 8
Be2GaGeW: relaxed, GGA-PBEsol.

Cell lengths 3.944, 3.944, 5.049 Å; angles 90.00, 90.00, 90.00 degrees
Space group P4/mmm (No. 123)
Asymmetric unit:
Be1 0.000 0.500 0.000 (multiplicity 2)
Ga1 0.000 0.000 0.500 (multiplicity 1)
Ge1 0.000 0.000 0.000 (multiplicity 1)
W1 0.500 0.500 0.500 (multiplicity 1)

Calculated values
Energy of formation in eV per atom: 1.3888
Density in g cm⁻³: 7.28
M_tot in μB/f.u.: 0.80

***

Record 9
HfBe2Ga: relaxed, GGA-PBEsol.

Cell lengths 3.964, 3.964, 15.125 Å; angles 90.00, 90.00, 90.00 degrees
Space group I4_1/amd (No. 141, origin choice 2)
Asymmetric unit:
Hf1 0.000 0.250 0.375 (multiplicity 4)
Be1 0.000 0.000 0.000 (multiplicity 8)
Ga1 0.000 0.250 0.875 (multiplicity 4)

Calculated values
Energy of formation in eV per atom: 0.2769
Density in g cm⁻³: 7.44
M_tot in μB/f.u.: 0.00

***

Record 10
HfBeGa2O: relaxed, GGA-PBEsol.

Cell lengths 5.215, 5.215, 4.730 Å; angles 90.00, 90.00, 90.00 degrees
Space group P4/mmm (No. 123)
Asymmetric unit:
Hf1 0.000 0.000 0.000 (multiplicity 1)
Be1 0.000 0.000 0.500 (multiplicity 1)
Ga1 0.000 0.500 0.000 (multiplicity 2)
O1 0.500 0.500 0.500 (multiplicity 1)

Calculated values
Formation energy from raw total energies in eV per formula unit: 7.82
Density in g cm⁻³: 4.43
M_tot in μB/f.u.: 1.21

***

Record 11
HfTaBe2Ga: relaxed, GGA-PBEsol.

Cell lengths 4.127, 4.127, 4.803 Å; angles 90.00, 90.00, 90.00 degrees
Space group P4/mmm (No. 123)
Asymmetric unit:
Hf1 0.000 0.000 0.000 (multiplicity 1)
Ta1 0.500 0.500 0.000 (multiplicity 1)
Be1 0.000 0.500 0.500 (multiplicity 2)
Ga1 0.500 0.500 0.500 (multiplicity 1)

Calculated values
Energy of formation in eV per atom: 0.7093
Density in g cm⁻³: 9.08
M_tot in μB/f.u.: 0.00

***

Record 12
BeGa2Hg: relaxed, GGA-PBEsol.

Cell lengths 6.535, 6.535, 6.535 Å; angles 90.00, 90.00, 90.00 degrees
Space group Fm-3m (No. 225)
Asymmetric unit:
Be1 0.000 0.000 0.000 (multiplicity 4)
Ga1 0.250 0.250 0.250 (multiplicity 8)
Hg1 0.000 0.000 0.500 (multiplicity 4)

Calculated values
Energy of formation in eV per atom: 0.4210
Density in g cm⁻³: 8.31
M_tot in μB/f.u.: 0.00

***

Record 13
BeGa3Hg: relaxed, GGA-PBEsol.

Cell lengths 5.052, 5.052, 5.052 Å; angles 90.00, 90.00, 90.00 degrees
Space group Pm-3m (No. 221)
Asymmetric unit:
Be1 0.000 0.000 0.000 (multiplicity 1)
Ga1 0.000 0.500 0.500 (multiplicity 3)
Hg1 0.500 0.500 0.500 (multiplicity 1)

Calculated values
Energy of formation in eV per atom: 0.9914
Density in g cm⁻³: 5.39
M_tot in μB/f.u.: 0.00

***

Record 14
BeGa2SnHg: relaxed, GGA-PBEsol.

Cell lengths 4.425, 4.425, 5.167 Å; angles 90.00, 90.00, 90.00 degrees
Space group P4/mmm (No. 123)
Asymmetric unit:
Be1 0.000 0.000 0.000 (multiplicity 1)
Ga1 0.000 0.500 0.000 (multiplicity 2)
Sn1 0.000 0.000 0.500 (multiplicity 1)
Hg1 0.500 0.500 0.500 (multiplicity 1)

Calculated values
Energy of formation in eV per atom: 0.2317
Density in g cm⁻³: 7.68
M_tot in μB/f.u.: 0.00

***

Record 15
BeTlGa2Hg: relaxed, GGA-PBEsol.

Cell lengths 5.375, 5.375, 4.520 Å; angles 90.00, 90.00, 90.00 degrees
Space group P4/mmm (No. 123)
Asymmetric unit:
Be1 0.000 0.000 0.000 (multiplicity 1)
Tl1 0.000 0.000 0.500 (multiplicity 1)
Ga1 0.000 0.500 0.500 (multiplicity 2)
Hg1 0.500 0.500 0.000 (multiplicity 1)

Calculated values
Energy of formation in eV per atom: 0.7394
Density in g cm⁻³: 7.04
M_tot in μB/f.u.: 0.00

***

Record 16
Be2GaMoI: relaxed, GGA-PBEsol.

Cell lengths 4.576, 4.576, 4.961 Å; angles 90.00, 90.00, 90.00 degrees
Space group P4/mmm (No. 123)
Asymmetric unit:
Be1 0.000 0.500 0.000 (multiplicity 2)
Ga1 0.000 0.000 0.500 (multiplicity 1)
Mo1 0.000 0.000 0.000 (multiplicity 1)
I1 0.500 0.500 0.500 (multiplicity 1)

Calculated values
Formation energy from raw total energies in eV per formula unit: 6.29
Density in g cm⁻³: 4.96
M_tot in μB/f.u.: 1.99

***

Record 17
BeNbGaI2: relaxed, GGA-PBEsol.

Cell lengths 5.184, 5.184, 4.612 Å; angles 90.00, 90.00, 90.00 degrees
Space group P4/mmm (No. 123)
Asymmetric unit:
Be1 0.000 0.000 0.000 (multiplicity 1)
Nb1 0.000 0.000 0.500 (multiplicity 1)
Ga1 0.500 0.500 0.500 (multiplicity 1)
I1 0.000 0.500 0.000 (multiplicity 2)

Calculated values
Formation energy from raw total energies in eV per formula unit: 4.42
Density in g cm⁻³: 5.70
M_tot in μB/f.u.: 3.23

***

Record 18
BeGaTeI2: relaxed, GGA-PBEsol.

Cell lengths 5.248, 5.248, 5.005 Å; angles 90.00, 90.00, 90.00 degrees
Space group P4/mmm (No. 123)
Asymmetric unit:
Be1 0.000 0.000 0.000 (multiplicity 1)
Ga1 0.500 0.500 0.500 (multiplicity 1)
Te1 0.000 0.000 0.500 (multiplicity 1)
I1 0.000 0.500 0.000 (multiplicity 2)

Calculated values
Formation energy from raw total energies in eV per formula unit: 0.37
Density in g cm⁻³: 5.54
M_tot in μB/f.u.: 0.00

***

Record 19
BeIn2GaRe: relaxed, GGA-PBEsol.

Cell lengths 4.747, 4.747, 4.090 Å; angles 90.00, 90.00, 90.00 degrees
Space group P4/mmm (No. 123)
Asymmetric unit:
Be1 0.000 0.000 0.000 (multiplicity 1)
In1 0.000 0.500 0.000 (multiplicity 2)
Ga1 0.000 0.000 0.500 (multiplicity 1)
Re1 0.500 0.500 0.500 (multiplicity 1)

Calculated values
Energy of formation in eV per atom: 1.1489
Density in g cm⁻³: 8.91
M_tot in μB/f.u.: 2.33

***

Record 20
LaBe3Ga: relaxed, GGA-PBEsol.

Cell lengths 5.009, 5.009, 5.009 Å; angles 90.00, 90.00, 90.00 degrees
Space group Pm-3m (No. 221)
Asymmetric unit:
La1 0.000 0.000 0.000 (multiplicity 1)
Be1 0.000 0.000 0.500 (multiplicity 3)
Ga1 0.500 0.500 0.500 (multiplicity 1)

Calculated values
Energy of formation in eV per atom: 2.0094
Density in g cm⁻³: 3.11
M_tot in μB/f.u.: 0.00

***

Record 21
LaBe3Ga: relaxed, GGA-PBEsol.

Cell lengths 4.333, 4.333, 4.333 Å; angles 90.00, 90.00, 90.00 degrees
Space group Pm-3m (No. 221)
Asymmetric unit:
La1 0.000 0.000 0.000 (multiplicity 1)
Be1 0.000 0.500 0.500 (multiplicity 3)
Ga1 0.500 0.500 0.500 (multiplicity 1)

Calculated values
Energy of formation in eV per atom: 0.3389
Density in g cm⁻³: 4.81
M_tot in μB/f.u.: 0.00

***

Record 22
LaBeGa2: relaxed, GGA-PBEsol.

Cell lengths 6.755, 6.755, 6.755 Å; angles 90.00, 90.00, 90.00 degrees
Space group Fm-3m (No. 225)
Asymmetric unit:
La1 0.000 0.000 0.000 (multiplicity 4)
Be1 0.000 0.000 0.500 (multiplicity 4)
Ga1 0.250 0.250 0.250 (multiplicity 8)

Calculated values
Energy of formation in eV per atom: -0.0881
Density in g cm⁻³: 6.19
M_tot in μB/f.u.: 0.00

***

Record 23
LiBe3Ga: relaxed, GGA-PBEsol.

Cell lengths 3.883, 3.883, 3.883 Å; angles 90.00, 90.00, 90.00 degrees
Space group Pm-3m (No. 221)
Asymmetric unit:
Li1 0.000 0.000 0.000 (multiplicity 1)
Be1 0.000 0.000 0.500 (multiplicity 3)
Ga1 0.500 0.500 0.500 (multiplicity 1)

Calculated values
Energy of formation in eV per atom: 0.9416
Density in g cm⁻³: 2.94
M_tot in μB/f.u.: 0.00

***

Record 24
BeGaTeN2: relaxed, GGA-PBEsol.

Cell lengths 3.735, 3.735, 6.144 Å; angles 90.00, 90.00, 90.00 degrees
Space group P4/mmm (No. 123)
Asymmetric unit:
Be1 0.000 0.000 0.000 (multiplicity 1)
Ga1 0.500 0.500 0.500 (multiplicity 1)
Te1 0.500 0.500 0.000 (multiplicity 1)
N1 0.000 0.500 0.500 (multiplicity 2)

Calculated values
Formation energy from raw total energies in eV per formula unit: 6.44
Density in g cm⁻³: 4.54
M_tot in μB/f.u.: 2.17

***

Record 25
BeGaTeN2: relaxed, GGA-PBEsol.

Cell lengths 3.642, 3.642, 5.298 Å; angles 90.00, 90.00, 90.00 degrees
Space group P4/mmm (No. 123)
Asymmetric unit:
Be1 0.000 0.000 0.000 (multiplicity 1)
Ga1 0.500 0.500 0.500 (multiplicity 1)
Te1 0.000 0.000 0.500 (multiplicity 1)
N1 0.000 0.500 0.000 (multiplicity 2)

Calculated values
Formation energy from raw total energies in eV per formula unit: 5.62
Density in g cm⁻³: 5.54
M_tot in μB/f.u.: 0.55

***

Record 26
NaTa2BeGa: relaxed, GGA-PBEsol.

Cell lengths 4.640, 4.640, 4.089 Å; angles 90.00, 90.00, 90.00 degrees
Space group P4/mmm (No. 123)
Asymmetric unit:
Na1 0.000 0.000 0.000 (multiplicity 1)
Ta1 0.000 0.500 0.000 (multiplicity 2)
Be1 0.000 0.000 0.500 (multiplicity 1)
Ga1 0.500 0.500 0.500 (multiplicity 1)

Calculated values
Energy of formation in eV per atom: 2.1181
Density in g cm⁻³: 8.74
M_tot in μB/f.u.: 0.00

***

Record 27
Be2Nb2Ga: relaxed, GGA-PBEsol.

Cell lengths 6.077, 6.077, 3.534 Å; angles 90.00, 90.00, 90.00 degrees
Space group P4/mbm (No. 127)
Asymmetric unit:
Be1 0.118 0.382 0.000 (multiplicity 4)
Nb1 0.178 0.678 0.500 (multiplicity 4)
Ga1 0.000 0.000 0.000 (multiplicity 2)

Calculated values
Energy of formation in eV per atom: -0.2649
Density in g cm⁻³: 6.96
M_tot in μB/f.u.: 0.00

***

Record 28
Be2GaNi2: relaxed, GGA-PBEsol.

Cell lengths 6.131, 6.131, 2.599 Å; angles 90.00, 90.00, 90.00 degrees
Space group P4/mbm (No. 127)
Asymmetric unit:
Be1 0.124 0.376 0.000 (multiplicity 4)
Ga1 0.000 0.000 0.000 (multiplicity 2)
Ni1 0.168 0.668 0.500 (multiplicity 4)

Calculated values
Energy of formation in eV per atom: -0.3656
Density in g cm⁻³: 6.97
M_tot in μB/f.u.: 0.00

***

Record 29
TaBe2GaNi: relaxed, GGA-PBEsol.

Cell lengths 4.512, 4.512, 4.433 Å; angles 90.00, 90.00, 90.00 degrees
Space group P4/mmm (No. 123)
Asymmetric unit:
Ta1 0.000 0.000 0.000 (multiplicity 1)
Be1 0.000 0.500 0.000 (multiplicity 2)
Ga1 0.500 0.500 0.500 (multiplicity 1)
Ni1 0.000 0.000 0.500 (multiplicity 1)

Calculated values
Energy of formation in eV per atom: 1.5825
Density in g cm⁻³: 6.02
M_tot in μB/f.u.: 0.00